DyBe9Rh2: optimized geometry, GGA-PBE.

Geometry as extended XYZ:
```
24
Lattice="-2.600 2.323 2.801 0.191 -4.458 0.304 10.868 1.091 9.182" Properties=species:S:1:pos:R:3 pbc="T T T"
Be 5.434 0.546 4.591
Be 7.475 2.136 10.489
Be 0.984 -3.179 1.798
Be 8.751 0.996 9.115
Be 5.850 0.705 6.664
Be 2.717 0.273 2.296
Be 0.890 -0.992 1.649
Be 8.151 0.819 6.887
Be 3.791 -0.701 4.100
Be 4.668 -0.342 8.188
Be 6.481 0.881 8.856
Be 4.575 1.845 8.039
Be 2.609 -1.748 5.623
Be 1.978 -1.925 3.432
Be 7.569 -0.051 10.638
Be -0.292 -2.040 3.173
Be 0.000 0.000 0.000
Be 3.884 -2.888 4.249
Rh 3.329 0.565 6.192
Rh -1.234 0.106 2.337
Rh 9.693 -1.150 9.951
Rh 5.130 -1.608 6.095
Dy 1.047 0.336 4.264
Dy 7.412 -1.379 8.023
```

As for the space group: P6_3/mmc, No. 194. The electronic total energy is -114.02 eV per cell.



DyBeRh: optimized geometry, GGA-PBE.

Geometry as extended XYZ:
```
6
Lattice="-1.763 -4.366 1.621 -0.584 -3.841 -3.329 3.247 -3.891 0.703" Properties=species:S:1:pos:R:3 pbc="T T T"
Dy 1.451 -5.383 -1.445
Dy -0.551 -6.714 0.440
Rh 0.742 -4.128 1.162
Rh -1.174 -4.103 -0.854
Be -0.882 -2.183 0.811
Be 0.000 0.000 0.000
```

As for the space group: Imma, No. 74. The offset from the most stable computed form is 80 meV/atom.



DyBeRh: optimized geometry, GGA-PBE.

Geometry as extended XYZ:
```
12
Lattice="6.370 0.000 0.000 0.000 6.370 0.000 0.000 0.000 5.700" Properties=species:S:1:pos:R:3 pbc="T T T"
Be 0.598 0.598 0.000
Be 5.772 5.772 2.850
Be 2.587 3.783 1.425
Be 3.783 2.587 4.275
Rh 5.352 1.018 4.275
Rh 4.203 4.203 2.850
Rh 1.018 5.352 1.425
Rh 2.167 2.167 0.000
Dy 4.944 4.944 0.000
Dy 1.759 4.612 4.275
Dy 4.612 1.759 1.425
Dy 1.426 1.426 2.850
```

As for the space group: P4_12_12, No. 92. The offset from the most stable computed form is 334 meV/atom.



DyBeRh: optimized geometry, GGA-PBE.

Geometry as extended XYZ:
```
12
Lattice="-4.003 -1.085 0.478 1.796 -6.861 -0.532 0.882 -0.291 6.732" Properties=species:S:1:pos:R:3 pbc="T T T"
Rh 0.360 -3.397 4.420
Rh -1.684 -4.840 2.258
Rh -0.607 -7.415 5.436
Rh -0.718 -0.822 1.242
Dy 0.882 -5.943 3.012
Dy 1.123 -5.324 6.437
Dy -2.206 -2.294 3.666
Dy -2.447 -2.913 0.241
Be -1.341 -5.064 4.622
Be -1.210 -7.105 1.087
Be -0.114 -1.132 5.591
Be 0.017 -3.173 2.056
```

As for the space group: Pnma, No. 62. The offset from the most stable computed form is 0 meV/atom.



DyBeRh3: optimized geometry, GGA-PBE.

Geometry as extended XYZ:
```
5
Lattice="-2.235 3.137 -1.804 0.153 -2.037 -3.731 -3.616 -2.025 0.958" Properties=species:S:1:pos:R:3 pbc="T T T"
Dy -2.849 -0.462 -2.289
Be 0.000 0.000 0.000
Rh -1.117 1.569 -0.902
Rh 0.076 -1.019 -1.865
Rh -1.808 -1.013 0.479
```

As for the space group: Pm-3m, No. 221. The electronic total energy is -33.32 eV per cell.



Dy4BeRh3: optimized geometry, GGA-PBE.

Geometry as extended XYZ:
```
8
Lattice="-2.582 -1.094 2.725 2.396 -3.111 1.021 4.981 6.204 7.209" Properties=species:S:1:pos:R:3 pbc="T T T"
Dy 5.455 3.747 6.672
Dy 1.719 0.154 4.495
Dy 1.893 3.419 5.971
Dy 0.712 0.887 1.030
Be 0.176 -1.768 2.262
Rh 3.424 5.326 8.187
Rh 2.031 2.530 2.940
Rh 4.143 2.113 4.773
```

As for the space group: Pmm2, No. 25. The electronic total energy is -49.50 eV per cell.



Dy2BeRh2: optimized geometry, GGA-PBE.

Geometry as extended XYZ:
```
10
Lattice="-1.153 1.450 -5.463 3.663 -0.689 -4.402 -2.174 -6.176 -2.587" Properties=species:S:1:pos:R:3 pbc="T T T"
Rh 1.561 0.873 -8.770
Rh 1.691 -2.755 -9.796
Rh -1.354 -2.660 -2.656
Rh -1.224 -6.288 -3.682
Be 2.626 -2.014 -5.158
Be -2.289 -3.401 -7.294
Dy -0.069 -0.368 -4.010
Dy 0.227 -1.397 -7.427
Dy 0.110 -4.018 -5.025
Dy 0.406 -5.047 -8.442
```

As for the space group: C2/c, No. 15. The electronic total energy is -62.53 eV per cell.



DyScBeRh: optimized geometry, GGA-PBE.

Geometry as extended XYZ:
```
4
Lattice="4.704 0.000 0.000 2.352 4.074 0.000 2.352 1.358 3.841" Properties=species:S:1:pos:R:3 pbc="T T T"
Rh 7.056 4.074 2.881
Sc 4.704 2.716 1.920
Be 2.352 1.358 0.960
Dy 0.000 0.000 0.000
```

As for the space group: F-43m, No. 216. The electronic total energy is -23.64 eV per cell.